First-principles (PBE-GGA) data for a relaxed SrAl2Ru crystal, as listed in Alexandria via LeMat-Bulk.

abc: 4.3682 4.3682 17.0969
angles: 90.00 90.00 120.00
Last column: nearest neighbours and their distance in Å.
Space group R3m (No. 160, hexagonal axes)
Inequivalent atoms, fractional coordinates:
Sr: 0.0000 0.0000 0.0000 [3 per cell]  1 Ru 3.14, 4 Al 3.22-3.48
Al: 0.0000 0.0000 0.5266 [3 per cell]  3 Ru 2.53, 3 Al 2.65
Al: 0.0000 0.0000 0.8119 [3 per cell]  3 Ru 2.61, 3 Al 2.65
Ru: 0.0000 0.0000 0.1836 [3 per cell]  6 Al 2.53-2.61

Calculated formation energy in meV/atom: -318
Calculated total energy in eV per atom: -4.928
Size of the total moment in μB per cell: 0.00
DOS(E_F) in states/eV/atom: 0.781